Sr2BeFe (PBE-GGA, relaxed); total moment = 1.947 Bohr magnetons per cell; energy = -13.614 eV per formula unit
1.0
3.3799 0.0000 0.0000
0.0000 3.3799 0.0000
0.0000 0.0000 8.8304
Fe Sr Be
1 2 1
Cartesian
1.6899 1.6899 5.7906
0.0000 0.0000 8.1220
1.6899 1.6899 2.9088
0.0000 0.0000 5.2545